(1)
Material: Li2Ag
Method: DFT, PBE
State: relaxed

abc: 12.5979 12.5979 12.5979
angles: 161.57 161.57 26.18
Positions (direct):
Ag (0.9188, 0.9188, 0.0000)
Ag (0.0812, 0.0812, 0.0000)
Ag (0.1688, 0.6688, 0.5000)
Ag (0.3312, 0.8312, 0.5000)
Li (0.7509, 0.7509, 0.0000)
Li (0.2491, 0.2491, 0.0000)
Li (0.0009, 0.5009, 0.5000)
Li (0.4991, 0.9991, 0.5000)
Li (0.5871, 0.5871, 0.0000)
Li (0.4129, 0.4129, 0.0000)
Li (0.8371, 0.3371, 0.5000)
Li (0.6629, 0.1629, 0.5000)

M_tot   0.0 μB/cell
Calculated total energy   -28.54 eV for the cell shown


(2)
Material: Li2Ag13
Method: DFT, PBE
State: relaxed

abc: 5.1111 7.1194 8.5882
angles: 122.40 94.26 91.27
Positions (direct):
Li (0.9302, 0.7436, 0.6038)
Li (0.0698, 0.2564, 0.3962)
Ag (0.6676, 0.6680, 0.9999)
Ag (0.3324, 0.3320, 0.0001)
Ag (0.0000, 0.0000, 0.0000)
Ag (0.2651, 0.0661, 0.5989)
Ag (0.7349, 0.9339, 0.4011)
Ag (0.1344, 0.5334, 0.7933)
Ag (0.8656, 0.4666, 0.2067)
Ag (0.3913, 0.5972, 0.4028)
Ag (0.6087, 0.4028, 0.5972)
Ag (0.4689, 0.8653, 0.7974)
Ag (0.5311, 0.1347, 0.2026)
Ag (0.8016, 0.2008, 0.7992)
Ag (0.1984, 0.7992, 0.2008)

M_tot   0.0 μB/cell
Calculated total energy   -41.67 eV for the cell shown


(3)
Material: Li15Ag
Method: DFT, PBE
State: relaxed

abc: 6.0385 6.0385 9.6761
angles: 90.00 90.00 120.00
Positions (direct):
Li (0.0000, 0.0000, 0.5000)
Li (0.0036, 0.5018, 0.0000)
Li (0.9947, 0.4973, 0.5000)
Li (0.4982, 0.9964, 0.0000)
Li (0.5027, 0.0053, 0.5000)
Li (0.4982, 0.5018, 0.0000)
Li (0.5027, 0.4973, 0.5000)
Li (0.8368, 0.1632, 0.2395)
Li (0.8368, 0.1632, 0.7605)
Li (0.8368, 0.6736, 0.2395)
Li (0.8368, 0.6736, 0.7605)
Li (0.3264, 0.1632, 0.2395)
Li (0.3264, 0.1632, 0.7605)
Li (0.3333, 0.6667, 0.2571)
Li (0.3333, 0.6667, 0.7429)
Ag (0.0000, 0.0000, 0.0000)

M_tot   0.0 μB/cell
Calculated total energy   -31.98 eV for the cell shown


(4)
Material: Li7Ag
Method: DFT, PBE
State: relaxed

abc: 5.8903 5.8903 5.8903
angles: 60.00 60.00 60.00
Positions (direct):
Ag (0.0000, 0.0000, 0.0000)
Li (0.5000, 0.0000, 0.5000)
Li (0.0000, 0.5000, 0.5000)
Li (0.0000, 0.0000, 0.5000)
Li (0.0000, 0.5000, 0.0000)
Li (0.5000, 0.0000, 0.0000)
Li (0.5000, 0.5000, 0.0000)
Li (0.5000, 0.5000, 0.5000)

Relative energy among the computed polymorphs   15 meV per atom
M_tot   0.0 μB/cell
Calculated total energy   -16.66 eV for the cell shown


(5)
Material: Li2Ag
Method: DFT, PBE
State: relaxed

abc: 5.1742 5.1742 8.1176
angles: 90.00 90.00 120.00
Positions (direct):
Ag (0.3333, 0.6667, 0.0649)
Ag (0.6667, 0.3333, 0.5649)
Ag (0.6667, 0.3333, 0.9351)
Ag (0.3333, 0.6667, 0.4351)
Li (0.0000, 0.0000, 0.0000)
Li (0.0000, 0.0000, 0.5000)
Li (0.8234, 0.6468, 0.2500)
Li (0.1766, 0.3532, 0.7500)
Li (0.3532, 0.1766, 0.2500)
Li (0.8234, 0.1766, 0.2500)
Li (0.1766, 0.8234, 0.7500)
Li (0.6468, 0.8234, 0.7500)

M_tot   0.0 μB/cell
Calculated total energy   -27.32 eV for the cell shown


(6)
Material: Li3Ag4
Method: DFT, PBE
State: relaxed

abc: 5.0100 5.0100 5.3035
angles: 90.00 90.00 120.00
Positions (direct):
Li (0.0000, 0.5000, 0.0000)
Li (0.5000, 0.5000, 0.0000)
Li (0.5000, 0.0000, 0.0000)
Ag (0.0000, 0.0000, 0.2521)
Ag (0.0000, 0.0000, 0.7479)
Ag (0.6667, 0.3333, 0.5000)
Ag (0.3333, 0.6667, 0.5000)

Relative energy among the computed polymorphs   136 meV per atom
M_tot   0.0 μB/cell
Calculated total energy   -17.51 eV for the cell shown


no.,ρ (g cm⁻³),calculated formation energy (eV per atom),V (Å³ per cell)
1,4.0,-0.15,200
2,9.0,-0.05,262
3,1.2,-0.03,306
4,1.8,-0.05,145
5,4.3,-0.05,188
6,6.5,-0.05,115